Density functional theory data (PBE) for TiAsBr2 after structural relaxation.

The structure in POSCAR format:
```
TiAsBr2
1.0
0.000 3.419 3.419
3.419 0.000 3.419
3.419 3.419 0.000
Ti As Br
1 1 2
Cartesian
0.000 0.000 0.000
3.419 3.419 3.419
1.709 1.709 1.709
5.128 5.128 5.128
```

ΔE_f (raw)   4.36 kcal/mol of atoms
N(E_F)   3.536 states/eV/f.u.
Space-group type   No. 225
Energy above the most stable polymorph in this dataset   2.35 eV/f.u.
Total DFT energy (no corrections)   -15.1 eV for the cell shown

Density functional theory data (PBE) for Ti3AsBr after structural relaxation.

The structure in POSCAR format:
```
Ti3AsBr
1.0
4.858 0.000 0.000
0.000 4.858 0.000
0.000 0.000 4.858
Ti As Br
3 1 1
Cartesian
0.000 0.000 2.429
0.000 2.429 0.000
2.429 0.000 0.000
0.000 0.000 0.000
2.429 2.429 2.429
```

ΔE_f (raw)   7.19 kcal/mol of atoms
N(E_F)   6.391 states/eV/f.u.
Space-group type   No. 221
Energy above the most stable polymorph in this dataset   0.00 eV/f.u.
Total DFT energy (no corrections)   -28.4 eV for the cell shown

- Number 2 is which compound?
  Ti3AsBr